Ce2DyErP4 | PBE-GGA | optimized geometry

extended XYZ file:
```
8
Lattice="4.040 0.000 0.000 0.000 6.997 0.121 0.000 -2.446 6.536" Properties=species:S:1:pos:R:3 pbc="T T T"
Ce 2.020 -1.223 3.268
Ce 0.000 2.275 3.329
Er 2.020 3.498 0.061
P 0.000 4.628 1.693
P 2.020 1.147 1.638
P 2.020 3.404 5.019
P 0.000 -0.077 4.965
Dy 0.000 0.000 0.000
```

Values from the calculation:
VASP energy, eV/atom: -6.89